An optimized crystal structure of Na6Cd5Ag, computed with PBE-GGA.

a b c (Å): 8.593 8.593 4.694
angles (deg): 105.67 105.67 103.26
Fractional positions:
1 Na 0.079 0.410 0.744
2 Na 0.241 0.241 0.240
3 Na 0.410 0.079 0.744
4 Na 0.590 0.921 0.256
5 Na 0.759 0.759 0.760
6 Na 0.921 0.590 0.256
7 Cd 0.165 0.835 0.000
8 Cd 0.338 0.662 0.500
9 Cd 0.500 0.500 0.000
10 Cd 0.662 0.338 0.500
11 Cd 0.835 0.165 0.000
12 Ag 0.000 0.000 0.500

Values from the calculation:
Raw total energy, eV for the cell shown: -15.988
Crystal system: monoclinic
Formation enthalpy at 0 K, eV per atom: -0.054